No. 1
## NdThMgZr (PBE)

Data for a geometry-optimized NdThMgZr structure.

```
data_NdThMgZr
_cell_length_a 7.664
_cell_length_b 7.664
_cell_length_c 7.664
_cell_angle_alpha 90.00
_cell_angle_beta 90.00
_cell_angle_gamma 90.00
_symmetry_space_group_name_H-M 'F -4 3 m'
_symmetry_Int_Tables_number 216
_symmetry_space_group_name_Hall 'F -4 2 3'
loop_
_atom_site_label
_atom_site_type_symbol
_atom_site_fract_x
_atom_site_fract_y
_atom_site_fract_z
Nd1 Nd 0.000 0.000 0.000
Th1 Th 0.000 0.000 0.500
Mg1 Mg 0.250 0.250 0.250
Zr1 Zr 0.250 0.250 0.750
```


No. 2
## Nd2MgTi (PBE)

Data for a geometry-optimized Nd2MgTi structure.

```
data_Nd2MgTi
_cell_length_a 5.341
_cell_length_b 5.341
_cell_length_c 3.885
_cell_angle_alpha 90.00
_cell_angle_beta 90.00
_cell_angle_gamma 90.00
_symmetry_space_group_name_H-M 'P 4/m m m'
_symmetry_Int_Tables_number 123
_symmetry_space_group_name_Hall '-P 4 2'
loop_
_atom_site_label
_atom_site_type_symbol
_atom_site_fract_x
_atom_site_fract_y
_atom_site_fract_z
Nd1 Nd 0.000 0.500 0.000
Mg1 Mg 0.000 0.000 0.500
Ti1 Ti 0.500 0.500 0.500
```


No. 3
## NdMgTi (PBE)

Data for a geometry-optimized NdMgTi structure.

```
data_NdMgTi
_cell_length_a 3.2476
_cell_length_b 3.2476
_cell_length_c 16.2104
_cell_angle_alpha 90.00
_cell_angle_beta 90.00
_cell_angle_gamma 120.00
_symmetry_space_group_name_H-M 'P -6 m 2'
_symmetry_Int_Tables_number 187
_symmetry_space_group_name_Hall 'P -6 2'
loop_
_atom_site_label
_atom_site_type_symbol
_atom_site_fract_x
_atom_site_fract_y
_atom_site_fract_z
Nd1 Nd 0.0000 0.0000 0.1894
Mg1 Mg 0.0000 0.0000 0.5000
Mg2 Mg 0.3333 0.6667 0.0000
Ti1 Ti 0.3333 0.6667 0.3472
```


No. 4
## Nd2MgTi (PBE)

Data for a geometry-optimized Nd2MgTi structure.

```
data_Nd2MgTi
_cell_length_a 3.2704
_cell_length_b 3.2704
_cell_length_c 35.8208
_cell_angle_alpha 90.00
_cell_angle_beta 90.00
_cell_angle_gamma 120.00
_symmetry_space_group_name_H-M 'R -3 m'
_symmetry_Int_Tables_number 166
_symmetry_space_group_name_Hall '-R 3 2"'
loop_
_atom_site_label
_atom_site_type_symbol
_atom_site_fract_x
_atom_site_fract_y
_atom_site_fract_z
Nd1 Nd 0.0000 0.0000 0.0826
Mg1 Mg 0.0000 0.0000 0.5000
Ti1 Ti 0.0000 0.0000 0.0000
```


Number 1: magnetic moment 0.61 μB/f.u., density 7.3 g/cm3, E -5.452 eV per atom. Number 2: magnetic moment 2.24 μB/f.u., density 5.4 g/cm3, E -4.595 eV per atom. Number 3: magnetic moment 0.00 μB/f.u., density 4.9 g/cm3, E -4.479 eV per atom. Number 4: magnetic moment 1.17 μB/f.u., density 5.4 g/cm3, E -4.328 eV per atom.